Below is NaTlNO2 at its PBEsol-relaxed geometry, with properties calculated at the meta-GGA SCAN level.

Total magnetization, Bohr magnetons per cell: 5.00
Energy relative to the elements, uncorrected, eV per atom: 0.68

Cell: 4.2911 4.2911 4.3763 Å, 90.00 90.00 90.00°
Closest atoms and distances in Å follow each position.
Sites, in units of the cell vectors:
Na  0.0000  0.0000  0.0000  4 O 2.15, 2 N 2.19
Tl  0.5000  0.5000  0.5000  4 N 3.03, 8 O 3.06
O  0.0000  0.5000  0.0000  2 Na 2.15
O  0.5000  0.0000  0.0000  2 Na 2.15
N  0.0000  0.0000  0.5000  2 Na 2.19